HfSc2Al6, optimized geometry, DFT PBE-GGA; space group = P6/mmm; volume = 162.5 Å³/f.u.
1.0
7.7287 0.0000 0.0000
-3.8643 6.6932 0.0000
0.0000 0.0000 3.1421
Hf Sc Al
1 2 6
Direct
0.0000 0.0000 0.0000
0.3333 0.6667 0.0000
0.6667 0.3333 0.0000
0.0000 0.3336 0.5000
0.0000 0.6664 0.5000
0.3336 0.0000 0.5000
0.3336 0.3336 0.5000
0.6664 0.0000 0.5000
0.6664 0.6664 0.5000


HfSc3Al, optimized geometry, DFT PBE-GGA; space group = Cmcm; volume = 116.8 Å³/f.u.
1.0
3.0236 -7.2877 0.0000
3.0236 7.2877 0.0000
0.0000 0.0000 5.3009
Hf Sc Al
2 6 2
Direct
0.0456 0.9544 0.7500
0.9544 0.0456 0.2500
0.0805 0.4031 0.7500
0.4031 0.0805 0.2500
0.5000 0.5000 0.0000
0.5000 0.5000 0.5000
0.5969 0.9195 0.7500
0.9195 0.5969 0.2500
0.3311 0.6689 0.2500
0.6689 0.3311 0.7500


HfSc8Al2, optimized geometry, DFT PBE-GGA; space group = C2/m; volume = 255.7 Å³/f.u.
1.0
4.0459 -6.9025 0.0000
4.0459 6.9025 0.0000
-2.2461 0.0000 4.5784
Hf Sc Al
1 8 2
Direct
0.0000 0.0000 0.0000
0.0918 0.3216 0.6270
0.2139 0.7861 0.0000
0.3216 0.0918 0.6270
0.4004 0.4004 0.2060
0.5996 0.5996 0.7940
0.6784 0.9082 0.3730
0.7861 0.2139 0.0000
0.9082 0.6784 0.3730
0.3081 0.6919 0.5000
0.6919 0.3081 0.5000


In the order shown, the computed formation energy values come out to -0.4382; 0.0555; 0.0003 eV/atom.